Record 1
Material: Cd2AuF
Method: DFT, PBE-GGA
State: relaxed

Geometry as POSCAR:
```
Cd2AuF
1.0
0.000 3.335 3.335
3.335 0.000 3.335
3.335 3.335 0.000
Cd Au F
2 1 1
Direct
0.250 0.250 0.250 Cd
0.750 0.750 0.750 Cd
0.000 0.000 0.000 Au
0.500 0.500 0.500 F
```

Computed properties:
E above lowest polymorph in eV/atom: 0.086
Uncorrected formation energy in eV/atom: -0.66
DOS at the Fermi energy in states/eV/cell: 1.12
E_tot in eV per atom: -2.406

=====

Record 2
Material: NaSn2Au2
Method: DFT, PBE-GGA
State: relaxed

Geometry as POSCAR:
```
NaSn2Au2
1.0
5.409 -2.361 0.000
5.409 2.361 0.000
-1.697 0.000 5.015
Na Sn Au
1 2 2
Direct
0.000 0.000 0.000 Na
0.354 0.354 0.420 Sn
0.646 0.646 0.580 Sn
0.256 0.256 0.846 Au
0.744 0.744 0.154 Au
```

Computed properties:
Formation energy in eV per atom: -0.279
E above lowest polymorph in eV/atom: 0.000
DOS at the Fermi energy in states/eV/cell: 1.90
E_tot in eV per atom: -3.455

=====

Record 3
Material: AcTc2Ge2P
Method: DFT, PBE-GGA
State: relaxed

Geometry as POSCAR:
```
AcTc2Ge2P
1.0
4.499 0.000 0.000
0.000 4.499 0.000
0.000 0.000 5.877
Ac Tc Ge P
1 2 2 1
Direct
0.000 0.000 0.000 Ac
0.000 0.500 0.500 Tc
0.500 0.000 0.500 Tc
0.500 0.500 0.233 Ge
0.500 0.500 0.767 Ge
0.000 0.000 0.500 P
```

Computed properties:
Formation energy in eV per atom: -0.396
DOS at the Fermi energy in states/eV/cell: 5.44
E_tot in eV per atom: -6.977

=====

Record 4
Material: Zn2TcOs
Method: DFT, PBE-GGA
State: relaxed

Geometry as POSCAR:
```
Zn2TcOs
1.0
1.422 -2.309 0.000
1.422 2.309 0.000
0.000 0.000 8.975
Zn Tc Os
2 1 1
Direct
0.000 0.000 0.000 Zn
0.500 0.500 0.251 Zn
0.000 0.000 0.505 Tc
0.500 0.500 0.746 Os
```

Computed properties:
Formation energy in eV per atom: 0.225
E above lowest polymorph in eV/atom: 0.243
DOS at the Fermi energy in states/eV/cell: 2.98
E_tot in eV per atom: -5.811

=====

Record 5
Material: SrCa3Rh
Method: DFT, PBE-GGA
State: relaxed

Geometry as POSCAR:
```
SrCa3Rh
1.0
7.369 0.000 0.000
-0.996 7.726 0.000
-3.604 -2.917 6.347
Sr Ca Rh
2 6 2
Direct
0.215 0.257 0.203 Sr
0.785 0.743 0.797 Sr
0.201 0.362 0.744 Ca
0.256 0.884 0.737 Ca
0.353 0.788 0.279 Ca
0.647 0.212 0.721 Ca
0.744 0.116 0.263 Ca
0.799 0.638 0.256 Ca
0.138 0.018 0.412 Rh
0.862 0.982 0.588 Rh
```

Computed properties:
Formation energy in eV per atom: -0.215
E above lowest polymorph in eV/atom: 0.013
DOS at the Fermi energy in states/eV/cell: 7.78
E_tot in eV per atom: -3.222

=====

Record 6
Material: BaVZn
Method: DFT, PBE-GGA
State: relaxed

Geometry as POSCAR:
```
BaVZn
1.0
4.989 -3.125 0.000
4.989 3.125 0.000
-3.871 0.000 5.070
Ba V Zn
2 2 2
Direct
0.000 0.000 0.000 Ba
0.748 0.748 0.255 Ba
0.425 0.724 0.587 V
0.724 0.425 0.587 V
0.334 0.334 0.646 Zn
0.354 0.354 0.076 Zn
```

Computed properties:
Formation energy in eV per atom: 0.382
E above lowest polymorph in eV/atom: 0.095
DOS at the Fermi energy in states/eV/cell: 5.05
E_tot in eV per atom: -3.723

=====

Record 7
Material: SrCdCl4
Method: DFT, PBE-GGA
State: relaxed

Geometry as POSCAR:
```
SrCdCl4
1.0
7.116 0.000 0.000
0.000 7.116 0.000
0.000 0.000 6.592
Sr Cd Cl
2 2 8
Direct
0.250 0.250 0.000 Sr
0.750 0.750 0.000 Sr
0.250 0.750 0.500 Cd
0.750 0.250 0.500 Cd
0.061 0.561 0.246 Cl
0.061 0.939 0.754 Cl
0.439 0.561 0.754 Cl
0.439 0.939 0.246 Cl
0.561 0.061 0.754 Cl
0.561 0.439 0.246 Cl
0.939 0.061 0.246 Cl
0.939 0.439 0.754 Cl
```

Computed properties:
Uncorrected formation energy in eV/atom: -1.77
DOS at the Fermi energy in states/eV/cell: 0.00
E_tot in eV per atom: -3.433

=====

Record 8
Material: Tb5YEr7
Method: DFT, PBE-GGA
State: relaxed

Geometry as POSCAR:
```
Tb5YEr7
1.0
-3.319 5.546 5.736
3.319 -5.546 5.736
3.319 5.546 -5.736
Tb Y Er
5 1 7
Direct
0.000 0.000 0.000 Tb
0.228 0.269 0.495 Tb
0.228 0.732 0.959 Tb
0.774 0.269 0.041 Tb
0.774 0.732 0.505 Tb
0.199 0.699 0.500 Y
0.078 0.250 0.828 Er
0.422 0.250 0.172 Er
0.495 0.495 0.000 Er
0.508 0.008 0.500 Er
0.581 0.748 0.833 Er
0.810 0.310 0.500 Er
0.915 0.748 0.167 Er
```

Computed properties:
Formation energy in eV per atom: 0.257
E above lowest polymorph in eV/atom: 0.004
DOS at the Fermi energy in states/eV/cell: 25.42
E_tot in eV per atom: -4.478

=====

Please write out number 5 again, unchanged.
Material: SrCa3Rh
Method: DFT, PBE-GGA
State: relaxed

Geometry as POSCAR:
```
SrCa3Rh
1.0
7.369 0.000 0.000
-0.996 7.726 0.000
-3.604 -2.917 6.347
Sr Ca Rh
2 6 2
Direct
0.215 0.257 0.203 Sr
0.785 0.743 0.797 Sr
0.201 0.362 0.744 Ca
0.256 0.884 0.737 Ca
0.353 0.788 0.279 Ca
0.647 0.212 0.721 Ca
0.744 0.116 0.263 Ca
0.799 0.638 0.256 Ca
0.138 0.018 0.412 Rh
0.862 0.982 0.588 Rh
```

Computed properties:
Formation energy in eV per atom: -0.215
E above lowest polymorph in eV/atom: 0.013
DOS at the Fermi energy in states/eV/cell: 7.78
E_tot in eV per atom: -3.222